1.
## ScAgCl2 (PBEsol)

Data for a relaxed ScAgCl2 crystal.

a b c (Å): 3.268 3.268 7.291
angles (deg): 90.00 90.00 90.00
Sites, in units of the cell vectors:
Sc: 0.000 0.000 0.000
Ag: 0.500 0.500 0.252
Cl: 0.000 0.000 0.447
Cl: 0.500 0.500 0.808

Crystal system: tetragonal
Energy above the most stable polymorph in this dataset, meV per atom: 70

=====

2.
## Ag2SeCl (PBEsol)

Data for a relaxed Ag2SeCl crystal.

a b c (Å): 3.787 3.787 6.990
angles (deg): 106.98 106.98 58.08
Sites, in units of the cell vectors:
Ag: 0.247 0.247 0.263
Ag: 0.753 0.753 0.737
Se: 0.000 0.000 0.500
Cl: 0.500 0.500 0.000

Crystal system: monoclinic
Energy above the most stable polymorph in this dataset, meV per atom: 10

=====

3.
## AgSeCl (PBEsol)

Data for a relaxed AgSeCl crystal.

a b c (Å): 7.196 7.196 7.196
angles (deg): 155.80 155.80 34.48
Sites, in units of the cell vectors:
Ag: 0.000 0.000 0.000
Se: 0.360 0.360 0.000
Cl: 0.625 0.625 0.000

Crystal system: tetragonal

=====

4.
## AgSeCl3 (PBEsol)

Data for a relaxed AgSeCl3 crystal.

a b c (Å): 4.937 4.937 4.937
angles (deg): 90.00 90.00 90.00
Sites, in units of the cell vectors:
Ag: 0.000 0.000 0.000
Se: 0.500 0.500 0.500
Cl: 0.000 0.000 0.500
Cl: 0.000 0.500 0.000
Cl: 0.500 0.000 0.000

Crystal system: cubic

=====

5.
## Ag2SeCl (PBEsol)

Data for a relaxed Ag2SeCl crystal.

a b c (Å): 3.787 3.787 5.514
angles (deg): 90.00 90.00 90.00
Sites, in units of the cell vectors:
Ag: 0.000 0.000 0.000
Ag: 0.500 0.500 0.500
Se: 0.000 0.000 0.500
Cl: 0.500 0.500 0.000

Crystal system: tetragonal
Energy above the most stable polymorph in this dataset, meV per atom: 0

=====

6.
## AgSeCl2 (PBEsol)

Data for a relaxed AgSeCl2 crystal.

a b c (Å): 3.378 3.378 8.305
angles (deg): 90.00 90.00 121.04
Sites, in units of the cell vectors:
Ag: 0.000 0.000 0.000
Se: 0.000 0.000 0.500
Cl: 0.500 0.500 0.222
Cl: 0.500 0.500 0.778

Crystal system: orthorhombic

=====

7.
## Ag2SeCl (PBEsol)

Data for a relaxed Ag2SeCl crystal.

a b c (Å): 3.174 4.219 5.941
angles (deg): 90.00 90.00 90.00
Sites, in units of the cell vectors:
Ag: 0.000 0.000 0.000
Ag: 0.000 0.500 0.500
Se: 0.500 0.000 0.500
Cl: 0.500 0.500 0.000

Crystal system: orthorhombic
Energy above the most stable polymorph in this dataset, meV per atom: 133

=====

8.
## SiAgCl2 (PBEsol)

Data for a relaxed SiAgCl2 crystal.

a b c (Å): 5.197 5.197 3.107
angles (deg): 90.80 90.80 90.28
Sites, in units of the cell vectors:
Si: 0.000 0.000 0.000
Ag: 0.500 0.500 0.000
Cl: 0.000 0.500 0.000
Cl: 0.500 0.000 0.000

Crystal system: monoclinic
Energy above the most stable polymorph in this dataset, meV per atom: 109

=====

no.,ΔE_f (raw) (eV/f.u.)
1,-3.6
2,-0.7
3,0.3
4,1.1
5,-0.7
6,0.4
7,-0.2
8,-0.1